KMgTlF6 PBE-GGA optimized geometry; formation energy without anion corrections = -2.625 eV per atom; calculated volume = 322.9 Å³/cell; DOS at the Fermi energy = 0.00 states/eV per cell; space-group type = Imma; theoretical density = 3926 kg/m³; total magnetic moment = 0.00 Bohr magnetons per cell
1.0
-5.522 -5.061 0.273
5.308 -5.692 1.855
-0.596 6.426 4.171
K Mg Tl F
2 2 2 12
direct
0.962 0.712 0.923
0.038 0.288 0.077
0.500 0.000 0.500
0.000 0.000 0.500
0.500 0.500 0.000
0.500 0.000 0.000
0.405 0.655 0.810
0.787 0.037 0.573
0.842 0.042 0.231
0.389 0.688 0.231
0.389 0.042 0.231
0.842 0.688 0.231
0.595 0.345 0.190
0.213 0.963 0.427
0.158 0.958 0.769
0.611 0.312 0.769
0.611 0.958 0.769
0.158 0.312 0.769